# AgTe7

A relaxed AgTe7 crystal (PBE, Alexandria).

raw formation energy	3.39	eV per formula unit
crystal system	cubic
N(E_F)	1.255	states/eV/atom
mass density	7.47	g cm⁻³
electronic total energy	-2.682	eV per atom
V	223	Å³ per cell
magnetic moment	0.00	μB per cell
SG	Fm-3m (225)

Unit cell a=6.8030 b=6.8030 c=6.8030 alpha=60.00 beta=60.00 gamma=60.00
Positions (direct):
Ag 0.0000 0.0000 0.0000
Te 0.0000 0.0000 0.5000
Te 0.0000 0.5000 0.0000
Te 0.0000 0.5000 0.5000
Te 0.5000 0.0000 0.0000
Te 0.5000 0.0000 0.5000
Te 0.5000 0.5000 0.0000
Te 0.5000 0.5000 0.5000